[1]
First-principles (PBE-GGA) data for Tb6Dy3Y2Ho after structural relaxation, as listed in Alexandria.

Calculated values
Calculated formation energy ... 16 meV per atom
Total magnetization ... 0.0 μB per formula unit

a = 6.1597 Å, b = 10.6583 Å, c = 11.7754 Å
α = 90.00°, β = 99.97°, γ = 90.00°
With the nearest neighbours (Å) after each atom.
Space group C2/m (No. 12)
Asymmetric unit:
Tb 0.2485 0.0000 0.2495 (multiplicity 4)  3 Dy 3.55, 6 Tb 3.55-3.56, 1 Ho 3.55, 2 Y 3.56
Tb 0.2503 0.1663 0.7505 (multiplicity 8)  6 Tb 3.54-3.56, 3 Dy 3.55, 2 Y 3.56, 1 Ho 3.56
Dy 0.0000 0.1667 0.0000 (multiplicity 4)  6 Tb 3.55, 6 Dy 3.55-3.56
Dy 0.0000 0.5000 0.0000 (multiplicity 2)  6 Tb 3.55, 6 Dy 3.55-3.56
Y 0.0000 0.3333 0.5000 (multiplicity 4)  3 Y 3.55-3.56, 3 Ho 3.55-3.56, 6 Tb 3.56
Ho 0.0000 0.0000 0.5000 (multiplicity 2)  6 Tb 3.55-3.56, 6 Y 3.55-3.56


[2]
First-principles (PBE-GGA) data for Tb6Dy2YHo3 after structural relaxation, as listed in Alexandria.

Calculated values
Calculated formation energy ... 16 meV per atom
Total magnetization ... 0.0 μB per formula unit

a = 6.1510 Å, b = 10.6432 Å, c = 11.7568 Å
α = 90.00°, β = 99.98°, γ = 90.00°
With the nearest neighbours (Å) after each atom.
Space group C2/m (No. 12)
Asymmetric unit:
Tb 0.2487 0.1670 0.2492 (multiplicity 8)  3 Ho 3.54, 6 Tb 3.54-3.56, 2 Dy 3.55, 1 Y 3.56
Tb 0.2503 0.0000 0.7509 (multiplicity 4)  3 Ho 3.54, 6 Tb 3.54-3.56, 1 Y 3.55, 2 Dy 3.56
Dy 0.0000 0.1667 0.5000 (multiplicity 4)  3 Y 3.55, 3 Dy 3.55, 6 Tb 3.55-3.56
Y 0.0000 0.5000 0.5000 (multiplicity 2)  6 Dy 3.55, 6 Tb 3.55-3.56
Ho 0.0000 0.0000 0.0000 (multiplicity 2)  6 Tb 3.54, 6 Ho 3.55
Ho 0.0000 0.3333 0.0000 (multiplicity 4)  6 Tb 3.54, 6 Ho 3.55


| no. | theoretical density (g/cm³) |
| --- | --- |
| 1 | 7.78 |
| 2 | 8.16 |